# VO2

A relaxed structure of VO2 (PBE with a Hubbard U, Alexandria).

Geometry as extended XYZ:
```
12
Lattice="4.872 0.000 0.000 0.000 7.119 0.000 -1.357 0.000 8.520" Properties=species:S:1:pos:R:3 pbc="T T T"
V 0.000 1.101 0.000
V 0.000 6.018 0.000
V 0.603 0.000 6.754
V 2.911 0.000 1.766
O -0.068 1.623 7.336
O -0.068 5.496 7.336
O 1.130 0.000 1.143
O 0.547 0.000 5.150
O 2.967 0.000 3.371
O 2.385 0.000 7.378
O 3.582 1.623 1.184
O 3.582 5.496 1.184
```

Output
Space group ... No. 10
Raw total energy ... -7.3011 eV/atom
M_tot ... 0.00 μB per formula unit